Ca2ZnAu: optimized geometry, PBE-GGA. Values from VASP.

```
&SYSTEM
  ibrav = 0, nat = 4, ntyp = 3
/
ATOMIC_SPECIES
Zn 65.41 Zn.upf
Au 196.97 Au.upf
Ca 40.08 Ca.upf
CELL_PARAMETERS angstrom
-2.3450 0.6605 3.5237
-4.2747 -0.1969 -0.1988
-1.9371 -6.9260 2.5994
ATOMIC_POSITIONS crystal
Zn 0.7500 0.7500 0.7500
Au 0.2500 0.2500 0.2500
Ca 0.9941 0.9941 0.0178
Ca 0.5059 0.5059 0.4822
```

Summary:
- Raw total energy: -2.52 eV/atom

=====

Ga3RuI: optimized geometry, PBE-GGA. Values from VASP.

```
&SYSTEM
  ibrav = 0, nat = 5, ntyp = 3
/
ATOMIC_SPECIES
I 126.90 I.upf
Ru 101.07 Ru.upf
Ga 69.72 Ga.upf
CELL_PARAMETERS angstrom
-3.8316 1.2574 -2.8561
0.5778 -4.1587 -2.6060
-3.0667 -2.3545 3.0776
ATOMIC_POSITIONS crystal
I 0.5000 0.5000 0.5000
Ru 0.0000 0.0000 0.0000
Ga 0.0000 0.5000 0.0000
Ga 0.0000 0.0000 0.5000
Ga 0.5000 0.0000 0.0000
```

Summary:
- Raw total energy: -4.09 eV/atom
- Energy above the lowest structure with this stoichiometry: 0.0 meV per atom

=====

NpCoTcGe2: optimized geometry, PBE-GGA. Values from VASP.

```
&SYSTEM
  ibrav = 0, nat = 5, ntyp = 4
/
ATOMIC_SPECIES
Np 237.00 Np.upf
Co 58.93 Co.upf
Tc 98.00 Tc.upf
Ge 72.64 Ge.upf
CELL_PARAMETERS angstrom
4.1297 0.0000 0.0000
0.0000 4.1297 0.0000
-2.0649 -2.0649 5.0538
ATOMIC_POSITIONS crystal
Np 0.0000 0.0000 0.0000
Co 0.2500 0.7500 0.5000
Tc 0.7500 0.2500 0.5000
Ge 0.6263 0.6263 0.2526
Ge 0.3737 0.3737 0.7474
```

Summary:
- Raw total energy: -8.11 eV/atom

=====

NpFeAu: optimized geometry, PBE-GGA. Values from VASP.

```
&SYSTEM
  ibrav = 0, nat = 6, ntyp = 3
/
ATOMIC_SPECIES
Fe 55.84 Fe.upf
Au 196.97 Au.upf
Np 237.00 Np.upf
CELL_PARAMETERS angstrom
-3.9740 -0.0135 2.8377
0.9116 -0.7871 5.4657
1.8099 3.9873 2.5360
ATOMIC_POSITIONS crystal
Fe 0.3563 0.7886 0.8357
Fe 0.6437 0.2114 0.1643
Au 0.9266 0.6477 0.6823
Au 0.0734 0.3523 0.3177
Np 0.6472 0.2055 0.7474
Np 0.3528 0.7945 0.2526
```

Summary:
- Raw total energy: -8.18 eV/atom

=====

La6Pr3Tl: optimized geometry, PBE-GGA. Values from VASP.

```
&SYSTEM
  ibrav = 0, nat = 20, ntyp = 3
/
ATOMIC_SPECIES
La 138.91 La.upf
Pr 140.91 Pr.upf
Tl 204.38 Tl.upf
CELL_PARAMETERS angstrom
3.7262 0.0000 0.0000
0.0000 12.2629 -2.1637
0.0000 0.2205 15.6779
ATOMIC_POSITIONS crystal
La 0.2500 0.3851 0.5376
La 0.7500 0.6149 0.4624
La 0.2500 0.8995 0.0317
La 0.7500 0.1005 0.9683
La 0.2500 0.8183 0.6227
La 0.7500 0.1817 0.3773
La 0.2500 0.6813 0.2548
La 0.7500 0.3187 0.7452
La 0.2500 0.5748 0.8986
La 0.7500 0.4252 0.1014
La 0.2500 0.1790 0.1668
La 0.7500 0.8210 0.8332
Pr 0.2500 0.1130 0.5682
Pr 0.7500 0.8870 0.4318
Pr 0.2500 0.4158 0.3120
Pr 0.7500 0.5842 0.6880
Pr 0.2500 0.0601 0.7742
Pr 0.7500 0.9399 0.2258
Tl 0.2500 0.3087 0.9259
Tl 0.7500 0.6913 0.0741
```

Summary:
- Raw total energy: -4.65 eV/atom
- Energy above the lowest structure with this stoichiometry: 0.0 meV per atom

=====

MoAsW: optimized geometry, PBE-GGA. Values from VASP.

```
&SYSTEM
  ibrav = 0, nat = 6, ntyp = 3
/
ATOMIC_SPECIES
Mo 95.94 Mo.upf
As 74.92 As.upf
W 183.84 W.upf
CELL_PARAMETERS angstrom
4.3804 0.0000 0.0000
2.1902 3.7936 0.0000
2.1902 1.2645 6.3326
ATOMIC_POSITIONS crystal
Mo 0.5716 0.5716 0.2853
Mo 0.4284 0.4284 0.7147
As 0.2830 0.2830 0.1509
As 0.7170 0.7170 0.8491
W 0.8628 0.8628 0.4117
W 0.1372 0.1372 0.5883
```

Summary:
- Raw total energy: -9.18 eV/atom
- Energy above the lowest structure with this stoichiometry: 72.1 meV per atom

=====

NaAlAu4: optimized geometry, PBE-GGA. Values from VASP.

```
&SYSTEM
  ibrav = 0, nat = 12, ntyp = 3
/
ATOMIC_SPECIES
Na 22.99 Na.upf
Al 26.98 Al.upf
Au 196.97 Au.upf
CELL_PARAMETERS angstrom
-4.9919 2.2789 -0.6262
-2.0168 -4.3362 -0.0310
2.6446 1.4808 8.7760
ATOMIC_POSITIONS crystal
Na 0.8280 0.7493 0.9996
Na 0.1720 0.2507 0.0004
Al 0.5000 0.0000 0.5000
Al 0.0000 0.5000 0.5000
Au 0.5465 0.1530 0.8095
Au 0.7373 0.3464 0.1907
Au 0.4535 0.8470 0.1905
Au 0.2627 0.6536 0.8093
Au 0.9835 0.0748 0.6551
Au 0.3285 0.4251 0.3456
Au 0.0165 0.9252 0.3449
Au 0.6715 0.5749 0.6544
```

Summary:
- Raw total energy: -3.27 eV/atom

=====

BaLa3Pt: optimized geometry, PBE-GGA. Values from VASP.

```
&SYSTEM
  ibrav = 0, nat = 20, ntyp = 3
/
ATOMIC_SPECIES
Ba 137.33 Ba.upf
Pt 195.08 Pt.upf
La 138.91 La.upf
CELL_PARAMETERS angstrom
24.1000 0.0000 -4.8974
0.0000 7.4757 0.0000
-8.8822 0.0000 5.9259
ATOMIC_POSITIONS crystal
Ba 0.1603 0.1011 0.7596
Ba 0.8397 0.8989 0.2404
Ba 0.3397 0.6011 0.7404
Ba 0.6603 0.3989 0.2596
Pt 0.6135 0.6127 0.8974
Pt 0.3865 0.3873 0.1026
Pt 0.8865 0.1127 0.6026
Pt 0.1135 0.8873 0.3974
La 0.0282 0.2357 0.1322
La 0.9718 0.7643 0.8678
La 0.4718 0.7357 0.3678
La 0.5282 0.2643 0.6322
La 0.2224 0.1163 0.2678
La 0.7776 0.8837 0.7322
La 0.2776 0.6163 0.2322
La 0.7224 0.3837 0.7678
La 0.4105 0.0835 0.9873
La 0.5895 0.9165 0.0127
La 0.0895 0.5835 0.5127
La 0.9105 0.4165 0.4873
```

Summary:
- Raw total energy: -4.92 eV/atom
- Energy above the lowest structure with this stoichiometry: 42.0 meV per atom

=====

DyRh2: optimized geometry, PBE-GGA. Values from VASP.

```
&SYSTEM
  ibrav = 0, nat = 6, ntyp = 2
/
ATOMIC_SPECIES
Dy 162.50 Dy.upf
Rh 102.91 Rh.upf
CELL_PARAMETERS angstrom
5.3353 0.0000 0.0000
2.6676 4.6205 0.0000
2.6676 1.5402 4.3562
ATOMIC_POSITIONS crystal
Dy 0.7500 0.7500 0.7500
Dy 0.5000 0.5000 0.5000
Rh 0.1250 0.1250 0.6250
Rh 0.1250 0.6250 0.1250
Rh 0.1250 0.1250 0.1250
Rh 0.6250 0.1250 0.1250
```

Summary:
- Raw total energy: -7.19 eV/atom

=====

Re3C: optimized geometry, PBE-GGA. Values from VASP.

```
&SYSTEM
  ibrav = 0, nat = 4, ntyp = 2
/
ATOMIC_SPECIES
Re 186.21 Re.upf
C 12.01 C.upf
CELL_PARAMETERS angstrom
4.8836 -0.0042 0.0010
2.0880 4.4148 -0.0010
-2.8727 -3.1744 2.3496
ATOMIC_POSITIONS crystal
Re 0.3008 0.3008 0.0000
Re 0.6992 0.6992 0.0000
Re 0.0000 0.5000 0.5000
C 0.5000 0.0000 0.5000
```

Summary:
- Raw total energy: -11.22 eV/atom
- Energy above the lowest structure with this stoichiometry: 444.1 meV per atom

=====

Mg2ReGeN4: optimized geometry, PBE-GGA. Values from VASP.

```
&SYSTEM
  ibrav = 0, nat = 16, ntyp = 4
/
ATOMIC_SPECIES
Mg 24.30 Mg.upf
Re 186.21 Re.upf
Ge 72.64 Ge.upf
N 14.01 N.upf
CELL_PARAMETERS angstrom
-3.2594 -4.0158 0.3838
2.2794 -2.2963 -4.6696
4.9381 -3.6081 4.1847
ATOMIC_POSITIONS crystal
Mg 0.4857 0.3130 0.2475
Mg 0.4857 0.3130 0.7525
Mg 0.9857 0.6870 0.7475
Mg 0.9857 0.6870 0.2525
Re 0.4945 0.8190 0.5000
Re 0.9945 0.1810 0.0000
Ge 0.9902 0.2019 0.5000
Ge 0.4902 0.7981 0.0000
N 0.3641 0.1375 0.0000
N 0.8641 0.8625 0.5000
N 0.3916 0.1435 0.5000
N 0.8916 0.8565 0.0000
N 0.3941 0.6721 0.7098
N 0.8941 0.3279 0.2098
N 0.8941 0.3279 0.7902
N 0.3941 0.6721 0.2902
```

Summary:
- Raw total energy: -6.95 eV/atom

=====

Pm2Cu3Ge2: optimized geometry, PBE-GGA. Values from VASP.

```
&SYSTEM
  ibrav = 0, nat = 7, ntyp = 3
/
ATOMIC_SPECIES
Pm 145.00 Pm.upf
Cu 63.55 Cu.upf
Ge 72.64 Ge.upf
CELL_PARAMETERS angstrom
-0.5954 -2.7252 -3.0543
3.2207 -1.8259 1.0014
-6.3502 -4.3605 5.1285
ATOMIC_POSITIONS crystal
Pm 0.0000 0.8427 0.6855
Pm 0.0000 0.1573 0.3145
Cu 0.5000 0.5643 0.1285
Cu 0.5000 0.4357 0.8715
Cu 0.0000 0.0000 0.0000
Ge 0.5000 0.7044 0.4088
Ge 0.5000 0.2956 0.5912
```

Summary:
- Raw total energy: -4.60 eV/atom

=====

Pb2W: optimized geometry, PBE-GGA. Values from VASP.

```
&SYSTEM
  ibrav = 0, nat = 6, ntyp = 2
/
ATOMIC_SPECIES
Pb 207.20 Pb.upf
W 183.84 W.upf
CELL_PARAMETERS angstrom
1.6780 6.1561 -0.0319
-1.6780 6.1561 -0.0319
0.0000 2.2402 7.7205
ATOMIC_POSITIONS crystal
Pb 0.0680 0.0680 0.9706
Pb 0.6543 0.6543 0.5852
Pb 0.3611 0.3611 0.2777
Pb 0.3614 0.3614 0.7771
W 0.0437 0.0437 0.3627
W 0.6782 0.6782 0.1934
```

Summary:
- Raw total energy: -6.14 eV/atom
- Energy above the lowest structure with this stoichiometry: 63.9 meV per atom

=====

Cd2CuPb: optimized geometry, PBE-GGA. Values from VASP.

```
&SYSTEM
  ibrav = 0, nat = 4, ntyp = 3
/
ATOMIC_SPECIES
Cd 112.41 Cd.upf
Cu 63.55 Cu.upf
Pb 207.20 Pb.upf
CELL_PARAMETERS angstrom
3.3223 0.0000 0.0000
1.6611 2.8772 0.0000
1.6611 0.9591 9.5669
ATOMIC_POSITIONS crystal
Cd 0.0676 0.0676 0.7973
Cd 0.2652 0.2652 0.2043
Cu 0.6665 0.6665 0.0004
Pb 0.5007 0.5007 0.4980
```

Summary:
- Raw total energy: -2.25 eV/atom

=====

PuHgI3: optimized geometry, PBE-GGA. Values from VASP.

```
&SYSTEM
  ibrav = 0, nat = 5, ntyp = 3
/
ATOMIC_SPECIES
I 126.90 I.upf
Hg 200.59 Hg.upf
Pu 244.00 Pu.upf
CELL_PARAMETERS angstrom
6.1442 0.0000 0.0000
0.0000 6.1442 0.0000
0.0000 0.0000 6.1442
ATOMIC_POSITIONS crystal
I 0.0000 0.5000 0.0000
I 0.0000 0.0000 0.5000
I 0.5000 0.0000 0.0000
Hg 0.5000 0.5000 0.5000
Pu 0.0000 0.0000 0.0000
```

Summary:
- Raw total energy: -4.61 eV/atom
- Energy above the lowest structure with this stoichiometry: 99.1 meV per atom

=====

LiCuW2: optimized geometry, PBE-GGA. Values from VASP.

```
&SYSTEM
  ibrav = 0, nat = 4, ntyp = 3
/
ATOMIC_SPECIES
Cu 63.55 Cu.upf
W 183.84 W.upf
Li 6.94 Li.upf
CELL_PARAMETERS angstrom
0.0000 3.0182 3.0182
3.0182 0.0000 3.0182
3.0182 3.0182 0.0000
ATOMIC_POSITIONS crystal
Cu 0.5000 0.5000 0.5000
W 0.2500 0.2500 0.2500
W 0.7500 0.7500 0.7500
Li 0.0000 0.0000 0.0000
```

Summary:
- Raw total energy: -7.19 eV/atom
- Energy above the lowest structure with this stoichiometry: 546.0 meV per atom

=====

BeZnMo2: optimized geometry, PBE-GGA. Values from VASP.

```
&SYSTEM
  ibrav = 0, nat = 4, ntyp = 3
/
ATOMIC_SPECIES
Be 9.01 Be.upf
Mo 95.94 Mo.upf
Zn 65.41 Zn.upf
CELL_PARAMETERS angstrom
-0.1097 1.7932 1.9786
-2.1601 -1.5245 0.3906
4.2880 -4.8812 4.6615
ATOMIC_POSITIONS crystal
Be 0.5000 0.5000 0.7458
Mo 0.0000 0.0000 0.9717
Mo 0.5000 0.5000 0.2549
Zn 0.0000 0.0000 0.5276
```

Summary:
- Raw total energy: -6.54 eV/atom
- Energy above the lowest structure with this stoichiometry: 42.4 meV per atom

=====

Pu12HgRu7: optimized geometry, PBE-GGA. Values from VASP.

```
&SYSTEM
  ibrav = 0, nat = 20, ntyp = 3
/
ATOMIC_SPECIES
Pu 244.00 Pu.upf
Hg 200.59 Hg.upf
Ru 101.07 Ru.upf
CELL_PARAMETERS angstrom
-4.4645 6.9618 -2.6369
-4.9474 -7.0867 -0.8083
2.2802 1.0040 8.3153
ATOMIC_POSITIONS crystal
Pu 0.3144 0.1897 0.5041
Pu 0.3144 0.8103 0.1247
Pu 0.6856 0.8103 0.4959
Pu 0.6856 0.1897 0.8753
Pu 0.5041 0.3144 0.1897
Pu 0.8753 0.6856 0.1897
Pu 0.4959 0.6856 0.8103
Pu 0.1247 0.3144 0.8103
Pu 0.8103 0.1247 0.3144
Pu 0.1897 0.8753 0.6856
Pu 0.1897 0.5041 0.3144
Pu 0.8103 0.4959 0.6856
Hg 0.0000 0.0000 0.0000
Ru 0.5000 0.0000 0.5000
Ru 0.5000 0.5000 0.0000
Ru 0.0000 0.5000 0.5000
Ru 0.0000 0.0000 0.5000
Ru 0.5000 0.0000 0.0000
Ru 0.5000 0.5000 0.5000
Ru 0.0000 0.5000 0.0000
```

Summary:
- Raw total energy: -11.77 eV/atom

=====

Y2SiNi: optimized geometry, PBE-GGA. Values from VASP.

```
&SYSTEM
  ibrav = 0, nat = 4, ntyp = 3
/
ATOMIC_SPECIES
Ni 58.69 Ni.upf
Si 28.09 Si.upf
Y 88.91 Y.upf
CELL_PARAMETERS angstrom
-2.4055 -2.1319 0.2452
1.6688 -1.6296 2.2251
-3.3531 4.4474 5.7721
ATOMIC_POSITIONS crystal
Ni 0.0000 0.0000 0.5644
Si 0.5000 0.5000 0.6853
Y 0.0000 0.0000 0.9374
Y 0.5000 0.5000 0.3129
```

Summary:
- Raw total energy: -6.30 eV/atom

=====

BeAlSe2: optimized geometry, PBE-GGA. Values from VASP.

```
&SYSTEM
  ibrav = 0, nat = 4, ntyp = 3
/
ATOMIC_SPECIES
Be 9.01 Be.upf
Al 26.98 Al.upf
Se 78.96 Se.upf
CELL_PARAMETERS angstrom
5.0858 0.0000 0.0000
0.0000 3.7702 0.0054
0.0000 0.5774 3.9973
ATOMIC_POSITIONS crystal
Be 0.5000 0.8194 0.7428
Al 0.0000 0.4381 0.4598
Se 0.0000 0.8626 0.8872
Se 0.5000 0.3799 0.4102
```

Summary:
- Raw total energy: -3.95 eV/atom
- Energy above the lowest structure with this stoichiometry: 64.4 meV per atom

=====

CaCeTe2: optimized geometry, PBE-GGA. Values from VASP.

```
&SYSTEM
  ibrav = 0, nat = 8, ntyp = 3
/
ATOMIC_SPECIES
Ca 40.08 Ca.upf
Ce 140.12 Ce.upf
Te 127.60 Te.upf
CELL_PARAMETERS angstrom
-0.9086 -5.2064 -3.5777
4.6139 -3.0158 3.2169
-6.1612 1.9858 4.3675
ATOMIC_POSITIONS crystal
Ca 0.5000 0.5000 0.0000
Ca 0.2500 0.7500 0.5000
Ce 0.7500 0.2500 0.5000
Ce 0.0000 0.0000 0.0000
Te 0.7477 0.7477 0.4955
Te 0.4977 0.9977 0.9955
Te 0.2523 0.2523 0.5045
Te 0.0023 0.5023 0.0045
```

Summary:
- Raw total energy: -5.01 eV/atom
- Energy above the lowest structure with this stoichiometry: 38.8 meV per atom

=====

TaCrSi2: optimized geometry, PBE-GGA. Values from VASP.

```
&SYSTEM
  ibrav = 0, nat = 4, ntyp = 3
/
ATOMIC_SPECIES
Cr 52.00 Cr.upf
Si 28.09 Si.upf
Ta 180.95 Ta.upf
CELL_PARAMETERS angstrom
-1.6811 2.2389 1.4516
-2.6622 -1.2919 -1.0905
-0.3138 -3.1589 4.5086
ATOMIC_POSITIONS crystal
Cr 0.5000 0.5000 0.7810
Si 0.0000 0.0000 0.9885
Si 0.5000 0.5000 0.2331
Ta 0.0000 0.0000 0.4975
```

Summary:
- Raw total energy: -8.38 eV/atom

=====

AcGa3Cu3: optimized geometry, PBE-GGA. Values from VASP.

```
&SYSTEM
  ibrav = 0, nat = 14, ntyp = 3
/
ATOMIC_SPECIES
Ac 227.00 Ac.upf
Ga 69.72 Ga.upf
Cu 63.55 Cu.upf
CELL_PARAMETERS angstrom
6.5424 0.0000 0.0000
3.2712 5.6659 0.0000
3.2712 1.8886 7.4248
ATOMIC_POSITIONS crystal
Ac 0.3361 0.3361 0.9917
Ac 0.6639 0.6639 0.0083
Ga 0.5575 0.7121 0.6264
Ga 0.7121 0.1040 0.6264
Ga 0.1040 0.5575 0.6264
Ga 0.8960 0.4425 0.3736
Ga 0.2879 0.8960 0.3736
Ga 0.4425 0.2879 0.3736
Cu 0.1351 0.6931 0.2706
Cu 0.9012 0.1351 0.2706
Cu 0.6931 0.9012 0.2706
Cu 0.3069 0.0988 0.7294
Cu 0.0988 0.8649 0.7294
Cu 0.8649 0.3069 0.7294
```

Summary:
- Raw total energy: -3.71 eV/atom
- Energy above the lowest structure with this stoichiometry: 183.5 meV per atom

=====

Ac4Zn2Ga: optimized geometry, PBE-GGA. Values from VASP.

```
&SYSTEM
  ibrav = 0, nat = 7, ntyp = 3
/
ATOMIC_SPECIES
Ac 227.00 Ac.upf
Zn 65.41 Zn.upf
Ga 69.72 Ga.upf
CELL_PARAMETERS angstrom
6.3614 0.0021 -2.2373
-3.1702 5.5023 -2.2688
0.0012 -0.0021 6.7434
ATOMIC_POSITIONS crystal
Ac 0.5000 0.0000 0.0000
Ac 0.5000 0.5000 0.5000
Ac 0.0000 0.0000 0.5000
Ac 0.0000 0.5000 0.0000
Zn 0.5000 0.5000 0.0000
Zn 0.5000 0.0000 0.5000
Ga 0.0000 0.0000 0.0000
```

Summary:
- Raw total energy: -3.36 eV/atom

=====

The records above yield total moment values of 0.0, 0.0, 3.8, 4.1, 0.0, 0.0, 0.0, 0.0, 0.0, 0.0, 0.0, 0.0, 0.0, 0.0, 5.0, 0.0, 0.0, 60.9, 0.0, 0.0, 2.7, 0.0, 0.0, 0.0 Bohr magnetons per cell, respectively.